## Cu4Rh3O12 (PBE)

Data for a relaxed structure of Cu4Rh3O12.

Output
total moment: 0.000 μB per cell
N(E_F): 26.54 states/eV per cell
crystal system: cubic
E_tot: -5.5316 eV/atom

Cell: 7.431 7.431 7.431 Å, 90.00 90.00 90.00°
Space group Im-3 (No. 204)
One atom of each set of equivalent atoms:
Cu (0.250, 0.250, 0.250) x8
Rh (0.000, 0.000, 0.500) x6
O (0.000, 0.189, 0.321) x24